Computed, not measured: a relaxed structure of Li3V5O12 at the PBE+U level of DFT.

abc: 5.0503 5.3672 7.4139
angles: 95.44 90.46 90.65
With the nearest neighbours (Å) after each atom.
Positions (direct):
Li1 0.0000 0.0000 0.0000  5 O 2.01-2.22
Li2 0.0116 0.9995 0.4975  6 O 2.03-2.22
Li3 0.5113 0.5018 0.5040  6 O 2.06-2.24
V1 0.0164 0.4369 0.2962  2 O 1.74-1.94
V2 0.5004 0.9323 0.7679  3 O 1.74-1.85
V3 0.5054 0.5260 0.9999  6 O 1.96-2.08
V4 0.5108 0.9443 0.2829  3 O 1.75-1.77
V5 0.9949 0.4217 0.7850  3 O 1.77-1.96
O1 0.1399 0.3928 0.0423  3 V 1.98-2.06, 1 Li 2.21
O2 0.1997 0.0804 0.7386  1 V 1.74
O3 0.2008 0.7052 0.3657  1 V 1.74
O4 0.3188 0.2009 0.3637  1 V 1.75
O5 0.3330 0.5964 0.7556  3 V 1.96-2.07, 1 Li 2.10
O6 0.3769 0.8916 0.0604  1 V 1.77
O7 0.6298 0.8973 0.5508  1 V 1.74
O8 0.6812 0.5838 0.2372  3 V 1.94-2.13
O9 0.6850 0.2105 0.8726  2 V 1.85-2.07
O10 0.7927 0.7103 0.8755  3 V 1.93-2.11, 1 Li 2.01
O11 0.8150 0.0881 0.2462  1 V 1.75
O12 0.8929 0.3960 0.5543  1 V 1.77

## Properties
excess energy over the best structure of this formula in the dataset	23	meV/atom
VASP energy	-7.116	eV per atom
theoretical density	3.88	g/cm³